PBE-GGA Ho2TmTh3Se6, relaxed; energy relative to the elements, uncorrected = -1.616 eV per atom; magnetic moment = 0.0 μB/f.u.; VASP energy = -6.349 eV/atom; N(E_F) = 8.023 states/eV/f.u.
1.0
4.012 0.000 0.000
0.000 8.499 -0.137
-2.006 -2.908 8.777
Ho Se Tm Th
2 6 1 3
Direct
0.167 0.333 0.334 Ho
0.833 0.667 0.666 Ho
0.996 0.763 0.992 Se
0.004 0.237 0.008 Se
0.329 0.427 0.658 Se
0.661 0.092 0.323 Se
0.339 0.908 0.677 Se
0.671 0.573 0.342 Se
0.500 0.000 0.000 Tm
0.500 0.500 0.000 Th
0.167 0.833 0.334 Th
0.833 0.167 0.666 Th

=====

PBE-GGA KHoSnF6, relaxed; energy relative to the elements, uncorrected = -3.217 eV per atom; magnetic moment = 0.0 μB/f.u.; VASP energy = -5.539 eV/atom; N(E_F) = 0.000 states/eV/f.u.
1.0
6.512 0.001 0.000
3.256 5.638 -0.001
0.000 0.000 3.589
F Sn K Ho
6 1 1 1
Direct
0.107 0.567 0.782 F
0.953 0.367 0.294 F
0.326 0.107 0.781 F
0.366 0.680 0.294 F
0.680 0.953 0.294 F
0.567 0.326 0.781 F
0.667 0.667 0.667 Sn
0.000 0.000 0.824 K
0.333 0.333 0.282 Ho

=====

PBE-GGA PmDy4, relaxed; magnetic moment = 0.0 μB/f.u.; VASP energy = -3.951 eV/atom; ΔH_f (0 K) = 680 meV/atom; offset from the most stable computed form = 0.664 eV/atom; N(E_F) = 7.785 states/eV/f.u.
1.0
-3.645 2.461 -3.525
3.138 -1.636 -4.387
-2.939 -4.799 -0.311
Dy Pm
4 1
Direct
0.500 0.500 0.000 Dy
0.000 0.500 0.500 Dy
0.000 0.000 0.000 Dy
0.500 0.000 0.500 Dy
0.500 0.500 0.500 Pm

=====

- Which formula does entry 1 have?
  Ho2TmTh3Se6

=====

- What is the magnetic moment in the third record?
  0.0 μB/f.u.

=====

Please write out number 1 again, unchanged.
PBE-GGA Ho2TmTh3Se6, relaxed; energy relative to the elements, uncorrected = -1.616 eV per atom; magnetic moment = 0.0 μB/f.u.; VASP energy = -6.349 eV/atom; N(E_F) = 8.023 states/eV/f.u.
1.0
4.012 0.000 0.000
0.000 8.499 -0.137
-2.006 -2.908 8.777
Ho Se Tm Th
2 6 1 3
Direct
0.167 0.333 0.334 Ho
0.833 0.667 0.666 Ho
0.996 0.763 0.992 Se
0.004 0.237 0.008 Se
0.329 0.427 0.658 Se
0.661 0.092 0.323 Se
0.339 0.908 0.677 Se
0.671 0.573 0.342 Se
0.500 0.000 0.000 Tm
0.500 0.500 0.000 Th
0.167 0.833 0.334 Th
0.833 0.167 0.666 Th